1.
# SrLiV

A relaxed SrLiV crystal (GGA-PBE, the Alexandria database).

Output
ΔE to the lowest computed polymorph	0.0206	eV/atom

a b c (Å): 4.2345 6.0212 6.6502
angles (deg): 98.59 94.77 80.85
Last column: nearest neighbours and their distance in Å.
Positions (direct):
V 0.7958 0.5013 0.9393  1 V 1.85
V 0.2042 0.4987 0.0607  1 V 1.85
Li 0.7086 0.5889 0.3816  2 Li 2.88-2.96, 3 V 2.95-3.05, 2 Sr 3.15-3.22
Li 0.2914 0.4111 0.6184  2 Li 2.88-2.96, 3 V 2.95-3.05, 2 Sr 3.15-3.22
Sr 0.2094 0.9382 0.7657  2 Li 3.15-3.22, 1 V 3.53
Sr 0.7906 0.0618 0.2343  2 Li 3.15-3.22, 1 V 3.53

2.
# SiAsN2O

A relaxed SiAsN2O crystal (GGA-PBE, the Alexandria database).

Output
uncorrected formation energy	844	meV/atom

a b c (Å): 3.7830 3.7830 3.6779
angles (deg): 90.00 90.00 90.00
Last column: nearest neighbours and their distance in Å.
Positions (direct):
As 0.0000 0.0000 0.0000  2 O 1.84, 4 N 1.89
O 0.0000 0.0000 0.5000  2 As 1.84
N 0.5000 0.0000 0.0000  2 As 1.89
N 0.0000 0.5000 0.0000  2 As 1.89
Si 0.5000 0.5000 0.5000  8 N 2.64, 4 O 2.68

3.
# MnZn2Co

A relaxed MnZn2Co crystal (GGA-PBE, the Alexandria database).

Output
ΔE to the lowest computed polymorph	0.0601	eV/atom

a b c (Å): 4.5367 4.5367 3.7492
angles (deg): 65.64 65.64 48.48
Last column: nearest neighbours and their distance in Å.
Positions (direct):
Zn 0.7501 0.7501 0.7500  4 Zn 2.62-2.63, 4 Co 2.62-2.63, 4 Mn 2.64
Zn 0.0000 0.0000 0.0000  4 Zn 2.62-2.63, 4 Mn 2.62-2.63, 4 Co 2.64
Mn 0.2497 0.2497 0.2504  4 Co 2.62-2.63, 8 Zn 2.62-2.64
Co 0.5003 0.5003 0.4996  4 Mn 2.62-2.63, 8 Zn 2.62-2.64

4.
# RbLiPuO3

A relaxed RbLiPuO3 crystal (GGA-PBE, the Alexandria database).

Output
uncorrected formation energy	-2362	meV/atom

a b c (Å): 3.5456 7.8326 7.8084
angles (deg): 108.51 90.00 90.00
Last column: nearest neighbours and their distance in Å.
Positions (direct):
Rb 0.7500 0.7862 0.7422  7 O 2.99-3.26, 3 Li 3.16-3.34
Rb 0.2500 0.2138 0.2578  7 O 2.99-3.26, 3 Li 3.16-3.34
O 0.2500 0.8244 0.4386  3 Li 1.94-2.00, 1 Pu 2.14
O 0.7500 0.4799 0.1424  3 Pu 2.27-2.33
O 0.7500 0.1756 0.5614  3 Li 1.94-2.00, 1 Pu 2.14
O 0.7500 0.8457 0.1405  1 Li 1.96
O 0.2500 0.1543 0.8595  1 Li 1.96
O 0.2500 0.5201 0.8576  3 Pu 2.27-2.33
Pu 0.7500 0.3225 0.8437  6 O 2.14-2.33
Pu 0.2500 0.6775 0.1563  6 O 2.14-2.33
Li 0.7500 0.9275 0.4053  4 O 1.94-2.00
Li 0.2500 0.0725 0.5947  4 O 1.94-2.00

no.,M_tot (μB per formula unit),raw total energy (Ry/atom)
1,0.00,-0.2767
2,0.00,-0.4036
3,4.31,-0.3446
4,4.00,-0.5667